Below is an optimized crystal structure of TbSm2ThSb4, with properties calculated at the GGA-PBE level. Values from VASP.

Output
ΔE_f (raw) ... -1119 meV per atom
Volume ... 252 Å³/cell

Quantum ESPRESSO input file:
```
&SYSTEM
  ibrav = 0, nat = 8, ntyp = 4
/
ATOMIC_SPECIES
Sm 150.36 Sm.upf
Th 232.04 Th.upf
Sb 121.76 Sb.upf
Tb 158.93 Tb.upf
CELL_PARAMETERS angstrom
-4.221 -0.927 -1.145
1.188 -7.460 1.661
-1.726 -1.295 7.415
ATOMIC_POSITIONS crystal
Sm 0.500 0.000 0.500
Sm 0.000 0.000 0.000
Th 0.500 0.500 0.000
Sb 0.000 0.250 0.253
Sb 0.500 0.747 0.254
Sb 0.500 0.253 0.746
Sb 0.000 0.750 0.747
Tb 0.000 0.500 0.500
```